# BaPbNO2

A geometry-optimized BaPbNO2 structure (GGA-PBE, Alexandria via LeMat-Bulk).

Cell: 4.880 4.880 4.749 Å, 90.00 90.00 90.00°
Sites, in units of the cell vectors:
Ba 0.000 0.000 0.000
Pb 0.500 0.500 0.500
N 0.000 0.000 0.500
O 0.000 0.500 0.000
O 0.500 0.000 0.000

formation energy (no corrections) = 1.49 eV per formula unit
crystal system = tetragonal
SG = No. 123

# Na2TiGeS5

A geometry-optimized Na2TiGeS5 structure (GGA-PBE, Alexandria via LeMat-Bulk).

Cell: 8.831 8.831 12.748 Å, 90.00 90.00 156.53°
Sites, in units of the cell vectors:
Na 0.108 0.892 0.500
Na 0.124 0.876 0.152
Na 0.876 0.124 0.652
Na 0.892 0.108 0.000
Ti 0.227 0.773 0.879
Ti 0.773 0.227 0.379
Ge 0.430 0.570 0.260
Ge 0.570 0.430 0.760
S 0.055 0.945 0.873
S 0.286 0.714 0.502
S 0.302 0.698 0.239
S 0.350 0.650 0.836
S 0.493 0.507 0.115
S 0.507 0.493 0.615
S 0.650 0.350 0.336
S 0.698 0.302 0.739
S 0.714 0.286 0.002
S 0.945 0.055 0.373

formation energy (no corrections) = -8.59 eV per formula unit
crystal system = orthorhombic
SG = No. 36

# BeRe2Ir

A geometry-optimized BeRe2Ir structure (GGA-PBE, Alexandria via LeMat-Bulk).

Cell: 3.635 3.635 4.174 Å, 90.00 90.00 90.00°
Sites, in units of the cell vectors:
Be 0.000 0.000 0.000
Re 0.000 0.500 0.500
Re 0.500 0.000 0.500
Ir 0.500 0.500 0.000

DFT formation energy = 0.168 eV/atom
crystal system = tetragonal
SG = No. 123

# Nd4Sm10Mg

A geometry-optimized Nd4Sm10Mg structure (GGA-PBE, Alexandria via LeMat-Bulk).

Cell: 8.817 8.817 8.817 Å, 111.21 111.21 106.05°
Sites, in units of the cell vectors:
Nd 0.064 0.675 0.739
Nd 0.325 0.064 0.389
Nd 0.675 0.936 0.611
Nd 0.936 0.325 0.261
Sm 0.127 0.226 0.677
Sm 0.226 0.549 0.099
Sm 0.250 0.750 0.500
Sm 0.450 0.127 0.901
Sm 0.451 0.550 0.677
Sm 0.549 0.450 0.323
Sm 0.550 0.873 0.099
Sm 0.750 0.250 0.500
Sm 0.774 0.451 0.901
Sm 0.873 0.774 0.323
Mg 0.000 0.000 0.000

DFT formation energy = 0.324 eV/atom
crystal system = tetragonal
SG = No. 87

# VNi2Sb2

A geometry-optimized VNi2Sb2 structure (GGA-PBE, Alexandria via LeMat-Bulk).

Cell: 7.283 7.283 3.110 Å, 90.00 90.00 90.00°
Sites, in units of the cell vectors:
V 0.000 0.000 0.000
V 0.500 0.500 0.000
Ni 0.132 0.368 0.500
Ni 0.368 0.868 0.500
Ni 0.632 0.132 0.500
Ni 0.868 0.632 0.500
Sb 0.164 0.664 0.000
Sb 0.336 0.164 0.000
Sb 0.664 0.836 0.000
Sb 0.836 0.336 0.000

relative energy among the computed polymorphs = 67 meV per atom
formation energy (no corrections) = 0.70 eV per formula unit
crystal system = tetragonal
SG = No. 127

# CuAgRh2

A geometry-optimized CuAgRh2 structure (GGA-PBE, Alexandria via LeMat-Bulk).

Cell: 2.704 2.704 9.228 Å, 90.00 90.00 118.01°
Sites, in units of the cell vectors:
Cu 0.000 0.000 0.000
Ag 0.000 0.000 0.500
Rh 0.500 0.500 0.233
Rh 0.500 0.500 0.767

DFT formation energy = 0.243 eV/atom
relative energy among the computed polymorphs = 132 meV per atom
crystal system = orthorhombic
SG = No. 65

# Ce5Sn2Ru2

A geometry-optimized Ce5Sn2Ru2 structure (GGA-PBE, Alexandria via LeMat-Bulk).

Cell: 10.497 10.497 8.386 Å, 112.94 112.94 34.12°
Sites, in units of the cell vectors:
Ce 0.002 0.342 0.060
Ce 0.020 0.020 0.223
Ce 0.160 0.497 0.221
Ce 0.458 0.036 0.443
Ce 0.480 0.478 0.682
Ce 0.503 0.840 0.779
Ce 0.522 0.520 0.318
Ce 0.658 0.998 0.940
Ce 0.964 0.542 0.557
Ce 0.980 0.980 0.777
Sn 0.237 0.559 0.930
Sn 0.441 0.763 0.070
Sn 0.737 0.056 0.370
Sn 0.944 0.263 0.630
Ru 0.095 0.406 0.819
Ru 0.194 0.806 0.500
Ru 0.594 0.905 0.181
Ru 0.695 0.305 0.000

DFT formation energy = -0.383 eV/atom
crystal system = monoclinic
SG = No. 5

# HgMo2Os

A geometry-optimized HgMo2Os structure (GGA-PBE, Alexandria via LeMat-Bulk).

Cell: 4.537 4.537 4.537 Å, 60.00 60.00 60.00°
Sites, in units of the cell vectors:
Hg 0.000 0.000 0.000
Mo 0.250 0.250 0.250
Mo 0.500 0.500 0.500
Os 0.750 0.750 0.750

DFT formation energy = 0.654 eV/atom
crystal system = cubic
SG = No. 216

# AcPmSbTe

A geometry-optimized AcPmSbTe structure (GGA-PBE, Alexandria via LeMat-Bulk).

Cell: 12.515 12.515 12.515 Å, 24.81 24.81 24.81°
Sites, in units of the cell vectors:
Ac 0.203 0.203 0.203
Ac 0.797 0.797 0.797
Pm 0.383 0.383 0.383
Pm 0.617 0.617 0.617
Sb 0.103 0.103 0.103
Sb 0.897 0.897 0.897
Te 0.298 0.298 0.298
Te 0.702 0.702 0.702

relative energy among the computed polymorphs = 138 meV per atom
formation energy (no corrections) = -3.98 eV per formula unit
crystal system = trigonal
SG = No. 166

# ZrGeIr2Pt

A geometry-optimized ZrGeIr2Pt structure (GGA-PBE, Alexandria via LeMat-Bulk).

Cell: 4.931 4.931 4.468 Å, 90.00 90.00 90.00°
Sites, in units of the cell vectors:
Zr 0.000 0.000 0.000
Ge 0.500 0.500 0.000
Ir 0.000 0.500 0.500
Ir 0.500 0.000 0.500
Pt 0.500 0.500 0.500

DFT formation energy = 0.994 eV/atom
crystal system = tetragonal
SG = No. 123

# Tb4MgSn

A geometry-optimized Tb4MgSn structure (GGA-PBE, Alexandria via LeMat-Bulk).

Cell: 11.552 11.552 6.604 Å, 90.00 90.00 153.41°
Sites, in units of the cell vectors:
Tb 0.072 0.928 0.500
Tb 0.205 0.795 0.746
Tb 0.206 0.794 0.258
Tb 0.360 0.640 0.503
Tb 0.640 0.360 0.003
Tb 0.794 0.206 0.758
Tb 0.795 0.205 0.246
Tb 0.928 0.072 0.000
Mg 0.068 0.932 0.000
Mg 0.932 0.068 0.500
Sn 0.341 0.659 0.002
Sn 0.659 0.341 0.502

DFT formation energy = -0.022 eV/atom
crystal system = orthorhombic
SG = No. 36

# ReRh

A geometry-optimized ReRh structure (GGA-PBE, Alexandria via LeMat-Bulk).

Cell: 2.732 2.732 7.848 Å, 90.00 90.00 90.00°
Sites, in units of the cell vectors:
Re 0.250 0.250 0.134
Re 0.750 0.750 0.866
Rh 0.250 0.250 0.635
Rh 0.750 0.750 0.365

DFT formation energy = -0.075 eV/atom
relative energy among the computed polymorphs = 102 meV per atom
crystal system = tetragonal
SG = No. 129

# Ho3ThMg2

A geometry-optimized Ho3ThMg2 structure (GGA-PBE, Alexandria via LeMat-Bulk).

Cell: 3.605 3.605 13.186 Å, 90.00 90.00 90.00°
Sites, in units of the cell vectors:
Ho 0.000 0.000 0.000
Ho 0.000 0.000 0.318
Ho 0.000 0.000 0.682
Th 0.500 0.500 0.500
Mg 0.500 0.500 0.157
Mg 0.500 0.500 0.843

DFT formation energy = -0.049 eV/atom
crystal system = tetragonal
SG = No. 123

# YHIrPd2

A geometry-optimized YHIrPd2 structure (GGA-PBE, Alexandria via LeMat-Bulk).

Cell: 4.179 4.179 4.083 Å, 90.00 90.00 90.00°
Sites, in units of the cell vectors:
Y 0.000 0.000 0.000
H 0.500 0.500 0.500
Ir 0.500 0.500 0.000
Pd 0.000 0.500 0.500
Pd 0.500 0.000 0.500

final energy = -6.35 eV per atom
crystal system = tetragonal
SG = No. 123

# Ac2GaNi9

A geometry-optimized Ac2GaNi9 structure (GGA-PBE, Alexandria via LeMat-Bulk).

Cell: 8.939 8.939 8.939 Å, 32.55 32.55 32.55°
Sites, in units of the cell vectors:
Ac 0.132 0.132 0.132
Ac 0.868 0.868 0.868
Ga 0.000 0.000 0.000
Ni 0.078 0.576 0.576
Ni 0.333 0.333 0.333
Ni 0.424 0.424 0.922
Ni 0.424 0.922 0.424
Ni 0.500 0.500 0.500
Ni 0.576 0.078 0.576
Ni 0.576 0.576 0.078
Ni 0.667 0.667 0.667
Ni 0.922 0.424 0.424

DFT formation energy = -0.053 eV/atom
crystal system = trigonal
SG = No. 166

# LaTlSeBr2

A geometry-optimized LaTlSeBr2 structure (GGA-PBE, Alexandria via LeMat-Bulk).

Cell: 5.910 5.910 5.750 Å, 90.00 90.00 90.00°
Sites, in units of the cell vectors:
La 0.000 0.000 0.000
Tl 0.500 0.500 0.500
Se 0.000 0.000 0.500
Br 0.000 0.500 0.000
Br 0.500 0.000 0.000

relative energy among the computed polymorphs = 0 meV per atom
formation energy (no corrections) = -6.89 eV per formula unit
crystal system = tetragonal
SG = No. 123

# Li4BeAu5

A geometry-optimized Li4BeAu5 structure (GGA-PBE, Alexandria via LeMat-Bulk).

Cell: 2.918 2.918 17.774 Å, 90.00 90.00 90.00°
Sites, in units of the cell vectors:
Li 0.000 0.000 0.103
Li 0.000 0.000 0.310
Li 0.000 0.000 0.690
Li 0.000 0.000 0.897
Be 0.000 0.000 0.500
Au 0.500 0.500 0.000
Au 0.500 0.500 0.206
Au 0.500 0.500 0.417
Au 0.500 0.500 0.583
Au 0.500 0.500 0.794

DFT formation energy = -0.443 eV/atom
crystal system = tetragonal
SG = No. 123

# BeSiRu2

A geometry-optimized BeSiRu2 structure (GGA-PBE, Alexandria via LeMat-Bulk).

Cell: 3.834 4.535 4.535 Å, 37.72 90.00 90.00°
Sites, in units of the cell vectors:
Be 0.000 0.000 0.000
Si 0.500 0.830 0.830
Ru 0.000 0.274 0.274
Ru 0.500 0.551 0.551

relative energy among the computed polymorphs = 68 meV per atom
formation energy (no corrections) = -1.95 eV per formula unit
crystal system = orthorhombic
SG = No. 38

# Cu3AgN

A geometry-optimized Cu3AgN structure (GGA-PBE, Alexandria via LeMat-Bulk).

Cell: 3.947 3.947 3.947 Å, 90.00 90.00 90.00°
Sites, in units of the cell vectors:
Cu 0.000 0.000 0.500
Cu 0.000 0.500 0.000
Cu 0.500 0.000 0.000
Ag 0.500 0.500 0.500
N 0.000 0.000 0.000

relative energy among the computed polymorphs = 0 meV per atom
formation energy (no corrections) = 1.30 eV per formula unit
crystal system = cubic
SG = No. 221

# NpPaSn2

A geometry-optimized NpPaSn2 structure (GGA-PBE, Alexandria via LeMat-Bulk).

Cell: 4.659 4.659 4.638 Å, 90.00 90.00 90.00°
Sites, in units of the cell vectors:
Np 0.000 0.000 0.000
Pa 0.500 0.500 0.000
Sn 0.000 0.500 0.500
Sn 0.500 0.000 0.500

DFT formation energy = -0.066 eV/atom
relative energy among the computed polymorphs = 24 meV per atom
crystal system = tetragonal
SG = No. 123

Computed theoretical density (g/cm3) in order:
5.7; 2.7; 17.3; 6.6; 8.3; 10.5; 8.0; 14.7; 6.8; 11.4; 6.6; 16.4; 7.5; 11.5; 9.5; 4.8; 11.2; 8.2; 8.4; 11.6